# 1
Computed, not measured: crystalline CuTe2Pb at its relaxed geometry at the PBE-GGA level of DFT.

mass density: 7506 kg/m3
uncorrected formation energy: -43 meV/atom
calculated total energy: -14.26 eV/f.u.

a b c (Å): 4.3140 3.8659 7.2381
angles (deg): 90.00 105.45 90.00
With the nearest neighbours (Å) after each atom.
Positions (direct):
Cu (0.0000, 0.0000, 0.0000)  4 Te 2.61
Te (0.0825, 0.5000, 0.7757)  2 Cu 2.61
Te (0.9175, 0.5000, 0.2243)  2 Cu 2.61
Pb (0.5000, 0.0000, 0.5000)  8 Te 3.37-3.59, 2 Cu 3.69

# 2
Computed, not measured: crystalline SmSi2Rh4 at its relaxed geometry at the PBE-GGA level of DFT.

mass density: 9199 kg/m3
uncorrected formation energy: -866 meV/atom
calculated total energy: -51.04 eV/f.u.

a b c (Å): 7.6834 7.6834 3.7804
angles (deg): 90.00 90.00 90.00
With the nearest neighbours (Å) after each atom.
Positions (direct):
Sm (0.0000, 0.0000, 0.0000)  6 Si 2.95-3.12, 8 Rh 3.22
Sm (0.5000, 0.5000, 0.5000)  6 Si 2.95-3.12, 8 Rh 3.22
Si (0.2281, 0.2281, 0.5000)  6 Rh 2.46
Si (0.2719, 0.7281, 0.0000)  6 Rh 2.46
Si (0.7281, 0.2719, 0.0000)  6 Rh 2.46
Si (0.7719, 0.7719, 0.5000)  6 Rh 2.46
Rh (0.0747, 0.6695, 0.5000)  3 Si 2.46
Rh (0.1695, 0.4253, 0.0000)  3 Si 2.46
Rh (0.3305, 0.9253, 0.5000)  3 Si 2.46
Rh (0.4253, 0.1695, 0.0000)  3 Si 2.46
Rh (0.5747, 0.8305, 0.0000)  3 Si 2.46
Rh (0.6695, 0.0747, 0.5000)  3 Si 2.46
Rh (0.8305, 0.5747, 0.0000)  3 Si 2.46
Rh (0.9253, 0.3305, 0.5000)  3 Si 2.46

# 3
Computed, not measured: crystalline Li2Sc2Ge at its relaxed geometry at the PBE-GGA level of DFT.

mass density: 2931 kg/m3
ΔH_f (0 K): -1.61 kcal/mol of atoms
offset from the most stable computed form: 103 meV/atom
calculated total energy: -21.46 eV/f.u.

a b c (Å): 3.3565 3.3565 17.7474
angles (deg): 90.00 90.00 90.00
With the nearest neighbours (Å) after each atom.
Positions (direct):
Li (0.0000, 0.5000, 0.2500)  4 Li 2.37
Li (0.0000, 0.5000, 0.7500)  4 Li 2.37
Li (0.5000, 0.0000, 0.2500)  4 Li 2.37
Li (0.5000, 0.0000, 0.7500)  4 Li 2.37
Sc (0.0000, 0.0000, 0.0932)  4 Ge 2.89
Sc (0.0000, 0.0000, 0.9068)  4 Ge 2.89
Sc (0.5000, 0.5000, 0.4068)  4 Ge 2.89
Sc (0.5000, 0.5000, 0.5932)  4 Ge 2.89
Ge (0.0000, 0.0000, 0.5000)  8 Sc 2.89
Ge (0.5000, 0.5000, 0.0000)  8 Sc 2.89

# 4
Computed, not measured: crystalline Mo2WAu at its relaxed geometry at the PBE-GGA level of DFT.

mass density: 14513 kg/m3
ΔH_f (0 K): 4.40 kcal/mol of atoms
offset from the most stable computed form: 43 meV/atom
calculated total energy: -37.13 eV/f.u.

a b c (Å): 3.2653 4.3923 9.1376
angles (deg): 90.00 90.00 90.00
With the nearest neighbours (Å) after each atom.
Positions (direct):
Mo (0.0000, 0.0000, 0.0000)  6 Mo 2.74, 2 W 2.74
Mo (0.0000, 0.5000, 0.2406)  6 Mo 2.74, 2 Au 2.88
Mo (0.5000, 0.0000, 0.2406)  6 Mo 2.74, 2 Au 2.88
Mo (0.5000, 0.5000, 0.0000)  6 Mo 2.74, 2 W 2.74
W (0.0000, 0.5000, 0.7586)  4 W 2.74, 2 Mo 2.74, 2 Au 2.87
W (0.5000, 0.0000, 0.7586)  4 W 2.74, 2 Mo 2.74, 2 Au 2.87
Au (0.0000, 0.0000, 0.4999)  4 Au 2.74, 2 W 2.87, 2 Mo 2.88
Au (0.5000, 0.5000, 0.4999)  4 Au 2.74, 2 W 2.87, 2 Mo 2.88

# 5
Computed, not measured: crystalline CdTcIr2 at its relaxed geometry at the PBE-GGA level of DFT.

mass density: 15660 kg/m3
ΔH_f (0 K): 3.53 kcal/mol of atoms
calculated total energy: -28.39 eV/f.u.

a b c (Å): 2.7799 2.7799 8.1619
angles (deg): 90.00 90.00 90.00
With the nearest neighbours (Å) after each atom.
Positions (direct):
Cd (0.0000, 0.0000, 0.0000)  4 Cd 2.78, 4 Ir 2.93, 4 Tc 2.99
Tc (0.5000, 0.5000, 0.7238)  4 Ir 2.67, 4 Tc 2.78, 4 Cd 2.99
Ir (0.0000, 0.0000, 0.5020)  4 Tc 2.67, 8 Ir 2.75-2.78
Ir (0.5000, 0.5000, 0.2660)  8 Ir 2.75-2.78, 4 Cd 2.93

# 6
Computed, not measured: crystalline HgAs2Br at its relaxed geometry at the PBE-GGA level of DFT.

mass density: 5963 kg/m3
offset from the most stable computed form: 97 meV/atom
uncorrected formation energy: 47 meV/atom
calculated total energy: -11.09 eV/f.u.

a b c (Å): 12.7697 3.6914 5.0884
angles (deg): 90.00 92.11 90.00
With the nearest neighbours (Å) after each atom.
Positions (direct):
Hg (0.0000, 0.0000, 0.0000)  1 Br 2.58, 1 As 2.62
Hg (0.5000, 0.5000, 0.0000)  1 Br 2.58, 1 As 2.62
As (0.0540, 0.5000, 0.5155)  2 As 2.49
As (0.1608, 0.0000, 0.3349)  2 As 2.49, 1 Hg 2.62
As (0.5540, 0.0000, 0.5155)  2 As 2.49
As (0.6608, 0.5000, 0.3349)  2 As 2.49, 1 Hg 2.62
Br (0.3103, 0.5000, 0.8097)  1 Hg 2.58
Br (0.8103, 0.0000, 0.8097)  1 Hg 2.58

# 7
Computed, not measured: crystalline Ca2CuAg at its relaxed geometry at the PBE-GGA level of DFT.

mass density: 4306 kg/m3
ΔH_f (0 K): -4.10 kcal/mol of atoms
calculated total energy: -11.66 eV/f.u.

a b c (Å): 3.6088 3.6469 7.3709
angles (deg): 90.00 90.09 90.00
With the nearest neighbours (Å) after each atom.
Positions (direct):
Ca (0.0010, 0.0000, 0.2381)  4 Cu 3.11, 4 Ag 3.21
Ca (0.9990, 0.0000, 0.7619)  4 Cu 3.11, 4 Ag 3.21
Cu (0.5000, 0.5000, 0.0000)  8 Ca 3.11
Ag (0.5000, 0.5000, 0.5000)  8 Ca 3.21

# 8
Computed, not measured: crystalline AlSiN2 at its relaxed geometry at the PBE-GGA level of DFT.

mass density: 3397 kg/m3
offset from the most stable computed form: 294 meV/atom
uncorrected formation energy: -446 meV/atom
calculated total energy: -27.60 eV/f.u.

a b c (Å): 2.8803 2.8803 16.9561
angles (deg): 90.00 90.00 120.00
With the nearest neighbours (Å) after each atom.
Positions (direct):
Al (0.0000, 0.0000, 0.0000)  2 N 1.87
Al (0.3333, 0.6667, 0.6667)  2 N 1.87
Al (0.6667, 0.3333, 0.3333)  2 N 1.87
Si (0.0000, 0.0000, 0.5000)  6 N 1.92
Si (0.3333, 0.6667, 0.1667)  6 N 1.92
Si (0.6667, 0.3333, 0.8333)  6 N 1.92
N (0.0000, 0.0000, 0.1102)  1 Al 1.87, 3 Si 1.92
N (0.0000, 0.0000, 0.8898)  1 Al 1.87, 3 Si 1.92
N (0.3333, 0.6667, 0.5564)  1 Al 1.87, 3 Si 1.92
N (0.3333, 0.6667, 0.7769)  1 Al 1.87, 3 Si 1.92
N (0.6667, 0.3333, 0.2231)  1 Al 1.87, 3 Si 1.92
N (0.6667, 0.3333, 0.4436)  1 Al 1.87, 3 Si 1.92

# 9
Computed, not measured: crystalline CsMgTl6 at its relaxed geometry at the PBE-GGA level of DFT.

mass density: 8178 kg/m3
ΔH_f (0 K): -0.30 kcal/mol of atoms
offset from the most stable computed form: 25 meV/atom
calculated total energy: -16.75 eV/f.u.

a b c (Å): 5.3825 5.3825 9.6961
angles (deg): 90.00 90.00 90.00
With the nearest neighbours (Å) after each atom.
Positions (direct):
Cs (0.0000, 0.0000, 0.0000)  16 Tl 4.11-4.21
Mg (0.0000, 0.0000, 0.5000)  8 Tl 3.14
Tl (0.0000, 0.5000, 0.3338)  2 Mg 3.14, 3 Tl 3.17-3.22
Tl (0.0000, 0.5000, 0.6662)  2 Mg 3.14, 3 Tl 3.17-3.22
Tl (0.5000, 0.0000, 0.3338)  2 Mg 3.14, 3 Tl 3.17-3.22
Tl (0.5000, 0.0000, 0.6662)  2 Mg 3.14, 3 Tl 3.17-3.22
Tl (0.5000, 0.5000, 0.1613)  5 Tl 3.13-3.17
Tl (0.5000, 0.5000, 0.8387)  5 Tl 3.13-3.17

# 10
Computed, not measured: crystalline Be2AsC2 at its relaxed geometry at the PBE-GGA level of DFT.

mass density: 3460 kg/m3
ΔH_f (0 K): 21.94 kcal/mol of atoms
offset from the most stable computed form: 0 meV/atom
calculated total energy: -25.79 eV/f.u.

a b c (Å): 6.1799 6.1799 2.9401
angles (deg): 90.00 90.00 90.00
With the nearest neighbours (Å) after each atom.
Positions (direct):
Be (0.1368, 0.3632, 0.0000)  4 C 2.01
Be (0.3632, 0.8632, 0.0000)  4 C 2.01
Be (0.6368, 0.1368, 0.0000)  4 C 2.01
Be (0.8632, 0.6368, 0.0000)  4 C 2.01
As (0.0000, 0.0000, 0.0000)  4 Be 2.40
As (0.5000, 0.5000, 0.0000)  4 Be 2.40
C (0.0753, 0.5753, 0.5000)  1 C 1.32
C (0.4247, 0.0753, 0.5000)  1 C 1.32
C (0.5753, 0.9247, 0.5000)  1 C 1.32
C (0.9247, 0.4247, 0.5000)  1 C 1.32

# 11
Computed, not measured: crystalline KRb3Cl at its relaxed geometry at the PBE-GGA level of DFT.

mass density: 1718 kg/m3
offset from the most stable computed form: 0 meV/atom
uncorrected formation energy: -716 meV/atom
calculated total energy: -9.43 eV/f.u.

a b c (Å): 6.8397 6.8397 6.8397
angles (deg): 90.00 90.00 90.00
With the nearest neighbours (Å) after each atom.
Positions (direct):
K (0.0000, 0.0000, 0.0000)  12 Rb 4.84
Rb (0.0000, 0.5000, 0.5000)  2 Cl 3.42
Rb (0.5000, 0.0000, 0.5000)  2 Cl 3.42
Rb (0.5000, 0.5000, 0.0000)  2 Cl 3.42
Cl (0.5000, 0.5000, 0.5000)  6 Rb 3.42

# 12
Computed, not measured: crystalline CeZnGa2Ni at its relaxed geometry at the PBE-GGA level of DFT.

mass density: 7445 kg/m3
ΔH_f (0 K): -11.10 kcal/mol of atoms
calculated total energy: -21.45 eV/f.u.

a b c (Å): 4.1450 4.1465 10.4762
angles (deg): 90.00 90.00 90.00
With the nearest neighbours (Å) after each atom.
Positions (direct):
Ce (0.0000, 0.0000, 0.0000)  8 Ga 3.12-3.41, 4 Ni 3.19, 4 Zn 3.31-3.37
Ce (0.5000, 0.5000, 0.5000)  8 Ga 3.12-3.41, 4 Ni 3.19, 4 Zn 3.31-3.37
Zn (0.0000, 0.5000, 0.7464)  2 Ni 2.46, 2 Ga 2.60
Zn (0.5000, 0.0000, 0.2464)  2 Ni 2.46, 2 Ga 2.60
Ga (0.0000, 0.0000, 0.3970)  1 Ni 2.33, 2 Zn 2.60
Ga (0.0000, 0.5000, 0.2419)  2 Ni 2.44, 2 Ga 2.63
Ga (0.5000, 0.0000, 0.7419)  2 Ni 2.44, 2 Ga 2.63
Ga (0.5000, 0.5000, 0.8970)  1 Ni 2.33, 2 Zn 2.60
Ni (0.0000, 0.0000, 0.6196)  3 Ga 2.33-2.44, 2 Zn 2.46
Ni (0.5000, 0.5000, 0.1196)  3 Ga 2.33-2.44, 2 Zn 2.46

> Among the records above, which one has the lowest calculated total energy?

SmSi2Rh4

> Which of these has the lowest calculated total energy?

SmSi2Rh4